[1]
The following is a PBE calculation of a geometry-optimized HfNbSiNi structure, from OQMD via LeMat-Bulk.

Structure (CIF):
```
data_HfNbSiNi
_cell_length_a 4.445
_cell_length_b 4.445
_cell_length_c 4.445
_cell_angle_alpha 60.00
_cell_angle_beta 60.00
_cell_angle_gamma 60.00
_space_group_name_H-M_alt 'P 1'
_space_group_IT_number 1
_space_group_name_Hall 'P 1'
loop_
_atom_site_label
_atom_site_fract_x
_atom_site_fract_y
_atom_site_fract_z
Hf1 0.500 0.500 0.500
Nb1 0.250 0.250 0.250
Ni1 0.750 0.750 0.750
Si1 0.000 0.000 0.000
```

Calculated values
space-group type = F-43m (216)
ΔE to the lowest computed polymorph = 0.00 eV/f.u.
uncorrected energy = -31.18 eV/f.u.

---

[2]
The following is a PBE calculation of a geometry-optimized Li4Ag2GeAs structure, from OQMD via LeMat-Bulk.

Structure (CIF):
```
data_Li4Ag2GeAs
_cell_length_a 4.425
_cell_length_b 4.425
_cell_length_c 6.328
_cell_angle_alpha 90.00
_cell_angle_beta 90.00
_cell_angle_gamma 90.00
_space_group_name_H-M_alt 'P 1'
_space_group_IT_number 1
_space_group_name_Hall 'P 1'
loop_
_atom_site_label
_atom_site_fract_x
_atom_site_fract_y
_atom_site_fract_z
Ag1 0.500 0.000 0.242
Ag2 0.000 0.500 0.758
As1 0.000 0.000 0.500
Ge1 0.500 0.500 0.000
Li1 0.000 0.000 0.000
Li2 0.000 0.500 0.250
Li3 0.500 0.500 0.500
Li4 0.500 0.000 0.750
```

Calculated values
space-group type = P-4m2 (115)
uncorrected energy = -25.72 eV/f.u.